[1]
Below is crystalline Tb2PmDy3Te6 at its relaxed geometry, with properties calculated at the GGA-PBE level.

a = 19.0872 Å, b = 4.3559 Å, c = 8.8041 Å
α = 90.00°, β = 103.38°, γ = 90.00°
Space group C2/m (No. 12)
Symmetry-distinct sites (fractional):
Tb: 0.1649 0.0000 0.3301 [4 per cell]
Pm: 0.0000 0.5000 0.0000 [2 per cell]
Dy: 0.0000 0.5000 0.5000 [2 per cell]
Dy: 0.1636 0.0000 0.8327 [4 per cell]
Te: 0.0003 0.0000 0.2568 [4 per cell]
Te: 0.1671 0.5000 0.5839 [4 per cell]
Te: 0.1703 0.5000 0.0834 [4 per cell]

---

[2]
Below is crystalline Tb2PmDyTe6 at its relaxed geometry, with properties calculated at the GGA-PBE level.

a = 7.7632 Å, b = 7.7632 Å, c = 21.2110 Å
α = 90.00°, β = 90.00°, γ = 120.00°
Space group R3 (No. 146, hexagonal axes)
Symmetry-distinct sites (fractional):
Tb: 0.0000 0.0000 0.0000 [3 per cell]
Tb: 0.0000 0.0000 0.4987 [3 per cell]
Pm: 0.0000 0.0000 0.3111 [3 per cell]
Dy: 0.0000 0.0000 0.8129 [3 per cell]
Te: 0.0183 0.3509 0.0739 [9 per cell]
Te: 0.0284 0.6749 0.5728 [9 per cell]

---

[3]
Below is crystalline Tb3PmDy2Te6 at its relaxed geometry, with properties calculated at the GGA-PBE level.

a = 19.0806 Å, b = 4.3588 Å, c = 8.8098 Å
α = 90.00°, β = 103.03°, γ = 90.00°
Space group C2/m (No. 12)
Symmetry-distinct sites (fractional):
Tb: 0.0000 0.0000 0.0000 [2 per cell]
Tb: 0.1628 0.5000 0.3338 [4 per cell]
Pm: 0.0000 0.0000 0.5000 [2 per cell]
Dy: 0.1646 0.5000 0.8306 [4 per cell]
Te: 0.0013 0.5000 0.7561 [4 per cell]
Te: 0.1681 0.0000 0.0830 [4 per cell]
Te: 0.1703 0.0000 0.5866 [4 per cell]

---

[4]
Below is crystalline TbPm2DyTe6 at its relaxed geometry, with properties calculated at the GGA-PBE level.

a = 7.8108 Å, b = 7.8108 Å, c = 21.2605 Å
α = 90.00°, β = 90.00°, γ = 120.00°
Space group R3 (No. 146, hexagonal axes)
Symmetry-distinct sites (fractional):
Tb: 0.0000 0.0000 0.0000 [3 per cell]
Pm: 0.0000 0.0000 0.3116 [3 per cell]
Pm: 0.0000 0.0000 0.8113 [3 per cell]
Dy: 0.0000 0.0000 0.5002 [3 per cell]
Te: 0.0281 0.6788 0.5750 [9 per cell]
Te: 0.0294 0.3501 0.0755 [9 per cell]

---

[5]
Below is crystalline Tb3Pm3DyTe8 at its relaxed geometry, with properties calculated at the GGA-PBE level.

a = 8.7886 Å, b = 8.7886 Å, c = 21.6141 Å
α = 90.00°, β = 90.00°, γ = 120.00°
Space group R-3m (No. 166, hexagonal axes)
Symmetry-distinct sites (fractional):
Tb: 0.0000 0.5000 0.0000 [9 per cell]
Pm: 0.0000 0.5000 0.5000 [9 per cell]
Dy: 0.0000 0.0000 0.0000 [3 per cell]
Te: 0.0000 0.0000 0.2525 [6 per cell]
Te: 0.0072 0.5036 0.2507 [18 per cell]

---

[6]
Below is crystalline Tb3Pm2DyTe6 at its relaxed geometry, with properties calculated at the GGA-PBE level.

a = 19.1800 Å, b = 4.3741 Å, c = 8.8538 Å
α = 90.00°, β = 103.22°, γ = 90.00°
Space group C2/m (No. 12)
Symmetry-distinct sites (fractional):
Tb: 0.0000 0.0000 0.0000 [2 per cell]
Tb: 0.1706 0.5000 0.3339 [4 per cell]
Pm: 0.1690 0.5000 0.8363 [4 per cell]
Dy: 0.0000 0.0000 0.5000 [2 per cell]
Te: 0.0025 0.5000 0.2527 [4 per cell]
Te: 0.1637 0.0000 0.0876 [4 per cell]
Te: 0.1643 0.0000 0.5770 [4 per cell]

---

no.,total energy (eV/cell),magnetization (μB per formula unit)
1,-124.8,0.0
2,-153.5,0.0
3,-125.0,0.0
4,-154.0,0.0
5,-237.2,0.0
6,-125.8,0.0